Record 1
PBE-GGA Zr2Be, optimized geometry; electronic total energy = -6.950 eV per atom; volume = 165.3 Å³/cell
1.0
7.047 0.000 0.000
-3.523 6.103 0.000
0.000 0.000 3.844
Zr Be
6 3
Cartesian
-0.914 1.584 0.000
-2.086 3.613 1.922
1.829 0.000 0.000
1.438 2.490 1.922
4.171 0.000 1.922
2.609 4.519 0.000
0.000 0.000 1.922
0.000 4.068 0.000
3.523 2.034 0.000

=====

Record 2
PBE-GGA ZrBe2, optimized geometry; electronic total energy = -5.347 eV per atom; volume = 161.6 Å³/cell
1.0
3.629 0.000 0.000
0.000 11.567 0.000
0.000 0.000 3.851
Zr Be
4 8
Cartesian
0.000 1.080 0.963
0.000 10.487 2.888
1.814 4.703 2.888
1.814 6.864 0.963
0.000 2.873 2.888
0.000 4.159 0.963
0.000 7.408 2.888
0.000 8.694 0.963
1.814 1.624 2.888
1.814 2.911 0.963
1.814 8.657 2.888
1.814 9.943 0.963

=====

Record 3
PBE-GGA Zr2Be, optimized geometry; electronic total energy = -6.127 eV per atom; volume = 124.5 Å³/cell
1.0
0.000 3.963 3.963
3.963 0.000 3.963
3.963 3.963 0.000
Zr Be
4 2
Cartesian
0.000 0.000 0.000
1.981 1.981 0.000
1.981 0.000 1.981
0.000 1.981 1.981
2.972 2.972 2.972
4.953 4.953 4.953

=====

Record 4
PBE-GGA ZrBe2, optimized geometry; electronic total energy = -5.160 eV per atom; volume = 127.7 Å³/cell
1.0
5.790 0.000 0.000
-2.895 5.014 0.000
0.000 0.000 4.399
Zr Be
3 6
Cartesian
0.000 0.000 0.000
0.000 3.343 2.199
2.895 1.671 2.199
-0.585 1.013 2.199
-1.372 2.377 0.000
1.170 0.000 2.199
2.745 0.000 0.000
1.523 2.637 0.000
2.310 4.001 2.199

=====

Record 5
PBE-GGA Zr2Be, optimized geometry; electronic total energy = -6.942 eV per atom; volume = 221.6 Å³/cell
1.0
5.900 0.000 0.000
0.000 4.307 0.000
0.000 0.000 8.721
Zr Be
8 4
Cartesian
0.312 1.077 1.578
0.779 1.077 5.077
2.171 3.230 0.716
2.637 3.230 5.939
3.262 1.077 2.782
3.729 1.077 8.004
5.121 3.230 3.644
5.587 3.230 7.142
1.099 1.077 7.735
1.850 3.230 3.375
4.049 1.077 5.346
4.800 3.230 0.985

=====

Record 6
PBE-GGA Zr3Be5, optimized geometry; electronic total energy = -5.566 eV per atom; volume = 227.7 Å³/cell
1.0
5.168 0.000 0.000
1.077 6.554 0.000
2.447 -0.278 6.722
Zr Be
6 10
Cartesian
1.808 3.138 1.119
2.971 5.084 3.312
2.373 6.156 0.264
6.319 0.119 6.459
5.721 1.192 3.410
6.884 3.137 5.604
2.999 0.599 4.473
3.389 2.514 3.584
4.339 3.767 5.123
4.325 1.707 5.562
3.106 0.776 2.295
5.586 5.500 4.427
4.367 4.569 1.160
4.353 2.509 1.599
5.304 3.761 3.139
5.693 5.677 2.249

=====

Record 7
PBE-GGA ZrBe2, optimized geometry; electronic total energy = -5.002 eV per atom; volume = 85.7 Å³/cell
1.0
2.929 0.000 0.000
0.000 4.042 0.000
0.000 0.000 7.235
Zr Be
2 4
Cartesian
0.000 0.000 0.000
1.465 2.021 3.617
0.000 0.000 2.543
0.000 0.000 4.691
1.465 2.021 1.074
1.465 2.021 6.161

=====

Record 8
PBE-GGA Zr2Be, optimized geometry; electronic total energy = -6.464 eV per atom; volume = 56.2 Å³/cell
1.0
4.800 0.000 0.000
-2.400 4.157 0.000
0.000 0.000 2.818
Zr Be
2 1
Cartesian
0.000 2.771 0.000
2.400 1.386 0.000
0.000 0.000 1.409

=====

Record 9
PBE-GGA Zr3Be5, optimized geometry; electronic total energy = -5.523 eV per atom; volume = 228.2 Å³/cell
1.0
6.078 0.000 0.000
0.000 8.722 0.000
0.000 0.000 4.305
Zr Be
6 10
Cartesian
0.000 0.000 0.000
0.000 2.492 2.153
0.000 6.230 2.153
3.039 1.869 2.153
3.039 4.361 0.000
3.039 6.853 2.153
0.000 4.361 0.000
1.322 0.000 2.153
1.519 2.180 0.000
1.519 6.541 0.000
1.717 4.361 2.153
3.039 0.000 0.000
4.361 4.361 2.153
4.558 2.180 0.000
4.558 6.541 0.000
4.756 0.000 2.153

=====

Record 10
PBE-GGA ZrBe2, optimized geometry; electronic total energy = -5.220 eV per atom; volume = 162.5 Å³/cell
1.0
4.271 0.000 0.000
0.000 4.271 0.000
0.000 0.000 8.907
Zr Be
4 8
Cartesian
0.000 0.000 2.227
0.000 0.000 6.681
2.135 2.135 2.227
2.135 2.135 6.681
0.723 1.412 0.000
0.723 2.859 4.454
1.412 0.723 4.454
1.412 3.547 0.000
2.859 0.723 0.000
2.859 3.547 4.454
3.547 1.412 4.454
3.547 2.859 0.000

=====

Record 11
PBE-GGA ZrBe5, optimized geometry; electronic total energy = -4.425 eV per atom; volume = 133.8 Å³/cell
1.0
3.722 0.000 0.000
0.000 9.514 0.000
0.000 0.000 3.777
Zr Be
2 10
Cartesian
0.000 0.000 0.000
1.861 4.757 0.000
0.000 1.738 1.888
0.000 2.896 0.000
0.000 4.757 1.888
0.000 6.619 0.000
0.000 7.777 1.888
1.861 0.000 1.888
1.861 1.862 0.000
1.861 3.019 1.888
1.861 6.495 1.888
1.861 7.653 0.000

=====

Record 12
PBE-GGA Zr2Be, optimized geometry; electronic total energy = -6.722 eV per atom; volume = 56.9 Å³/cell
1.0
4.328 0.000 0.000
-2.164 3.749 0.000
0.000 0.000 3.510
Zr Be
2 1
Cartesian
0.000 2.499 0.928
2.164 1.250 2.582
0.000 0.000 0.000

=====

Calculated values (eV per atom) of energy relative to the elements for the records, taken in order: -0.009 -0.013 0.814 0.173 -0.001 -0.031 0.332 0.477 0.012 0.113 0.105 0.219.
Calculated values (μB/cell) of total magnetic moment for the records, taken in order: 0.002 0.000 0.000 0.000 0.000 0.000 0.000 0.000 0.000 0.000 0.000 0.000.